Material: MnCr3
Method: DFT, GGA-PBEsol
State: optimized geometry

```
4
Lattice="2.426 0.001 0.000 -0.813 2.286 0.000 0.000 0.000 7.891" Properties=species:S:1:pos:R:3 pbc="T T T"
Cr 0.807 1.144 0.000
Cr 0.000 0.000 5.903
Cr 0.000 0.000 1.988
Mn 0.807 1.144 3.946
```

Calculated values
Total moment   0.71 μB per formula unit
Energy of formation   0.043 eV/atom